{"formula": "La2NdTm3Se6", "functional": "GGA-PBE", "state": "optimized geometry", "m_tot_mub_per_cell": 0.0, "raw_formation_energy_ev_per_atom": -1.82, "mass_density_g_cm3": 7.67, "cell": [[-3.519, -1.583, 1.298], [3.534, -7.704, 0.186], [3.176, 4.429, 7.629]], "species": ["Tm", "Tm", "Tm", "Se", "Se", "Se", "Se", "Se", "Se", "Nd", "La", "La"], "fractional_positions": [[0.833, 0.167, 0.666], [0.500, 0.500, 0.000], [0.167, 0.833, 0.334], [0.006, 0.739, 0.012], [0.329, 0.933, 0.658], [0.671, 0.067, 0.342], [0.661, 0.596, 0.323], [0.339, 0.404, 0.677], [0.994, 0.261, 0.988], [0.500, 0.000, 0.000], [0.834, 0.669, 0.669], [0.166, 0.331, 0.331]]}